1.
{"formula": "Mg30AlCuO32", "functional": "SCAN", "state": "single point on PBEsol structure", "lattice": [[8.4172, 0.0000, 0.0000], [0.0000, 8.4172, 0.0000], [0.0000, 0.0000, 8.4582]], "species": ["Mg", "Mg", "Mg", "Mg", "Mg", "Mg", "Mg", "Mg", "Mg", "Mg", "Mg", "Mg", "Mg", "Mg", "Mg", "Mg", "Mg", "Mg", "Mg", "Mg", "Mg", "Mg", "Mg", "Mg", "Mg", "Mg", "Mg", "Mg", "Mg", "Mg", "Al", "Cu", "O", "O", "O", "O", "O", "O", "O", "O", "O", "O", "O", "O", "O", "O", "O", "O", "O", "O", "O", "O", "O", "O", "O", "O", "O", "O", "O", "O", "O", "O", "O", "O"], "fractional_positions": [[0.0000, 0.0000, 0.0000], [0.0000, 0.0000, 0.5000], [0.0000, 0.2504, 0.2489], [0.0000, 0.2504, 0.7511], [0.0000, 0.5000, 0.0000], [0.0000, 0.5000, 0.5000], [0.0000, 0.7496, 0.2489], [0.0000, 0.7496, 0.7511], [0.2504, 0.0000, 0.2489], [0.2504, 0.0000, 0.7511], [0.2499, 0.2499, 0.5000], [0.2499, 0.7501, 0.5000], [0.2521, 0.2521, 0.0000], [0.2522, 0.5000, 0.2467], [0.2522, 0.5000, 0.7533], [0.2521, 0.7479, 0.0000], [0.5000, 0.0000, 0.0000], [0.5000, 0.0000, 0.5000], [0.5000, 0.2522, 0.2467], [0.5000, 0.2522, 0.7533], [0.5000, 0.7478, 0.2467], [0.5000, 0.7478, 0.7533], [0.7479, 0.2521, 0.0000], [0.7478, 0.5000, 0.2467], [0.7478, 0.5000, 0.7533], [0.7479, 0.7479, 0.0000], [0.7496, 0.0000, 0.2489], [0.7496, 0.0000, 0.7511], [0.7501, 0.2499, 0.5000], [0.7501, 0.7501, 0.5000], [0.5000, 0.5000, 0.5000], [0.5000, 0.5000, 0.0000], [0.0000, 0.0000, 0.2514], [0.0000, 0.0000, 0.7486], [0.0000, 0.2491, 0.0000], [0.0000, 0.2515, 0.5000], [0.0000, 0.5000, 0.2537], [0.0000, 0.5000, 0.7463], [0.0000, 0.7485, 0.5000], [0.0000, 0.7509, 0.0000], [0.2414, 0.5000, 0.0000], [0.2491, 0.0000, 0.0000], [0.2515, 0.0000, 0.5000], [0.2506, 0.2506, 0.2504], [0.2506, 0.2506, 0.7496], [0.2506, 0.7494, 0.2504], [0.2506, 0.7494, 0.7496], [0.2610, 0.5000, 0.5000], [0.5000, 0.0000, 0.2537], [0.5000, 0.0000, 0.7463], [0.5000, 0.2414, 0.0000], [0.5000, 0.2610, 0.5000], [0.5000, 0.5000, 0.2805], [0.5000, 0.5000, 0.7195], [0.5000, 0.7390, 0.5000], [0.5000, 0.7586, 0.0000], [0.7390, 0.5000, 0.5000], [0.7485, 0.0000, 0.5000], [0.7494, 0.2506, 0.2504], [0.7494, 0.2506, 0.7496], [0.7494, 0.7494, 0.2504], [0.7494, 0.7494, 0.7496], [0.7509, 0.0000, 0.0000], [0.7586, 0.5000, 0.0000]], "sg": "P4/mmm", "m_tot_mub_per_cell": 0.05, "dft_energy_ev_per_atom": -8.75}

2.
{"formula": "RbIn3Ir", "functional": "SCAN", "state": "single point on PBEsol structure", "lattice": [[5.1882, 0.0000, 0.0000], [0.0000, 5.1882, 0.0000], [0.0000, 0.0000, 5.1882]], "species": ["Rb", "In", "In", "In", "Ir"], "fractional_positions": [[0.0000, 0.0000, 0.0000], [0.0000, 0.5000, 0.5000], [0.5000, 0.0000, 0.5000], [0.5000, 0.5000, 0.0000], [0.5000, 0.5000, 0.5000]], "sg": "Pm-3m", "m_tot_mub_per_cell": 0.00, "e_form_kj_per_mol_atoms": -25.9}

3.
{"formula": "RbCrTe3", "functional": "SCAN", "state": "single point on PBEsol structure", "lattice": [[5.3312, 0.0000, 0.0000], [0.0000, 5.3312, 0.0000], [0.0000, 0.0000, 5.3312]], "species": ["Rb", "Cr", "Te", "Te", "Te"], "fractional_positions": [[0.0000, 0.0000, 0.0000], [0.5000, 0.5000, 0.5000], [0.0000, 0.5000, 0.5000], [0.5000, 0.0000, 0.5000], [0.5000, 0.5000, 0.0000]], "sg": "Pm-3m", "m_tot_mub_per_cell": 2.47, "dft_energy_ev_per_atom": -30.52}

4.
{"formula": "KSi2BO6", "functional": "SCAN", "state": "single point on PBEsol structure", "lattice": [[4.7189, 0.0000, 0.0000], [0.0000, 9.9809, 0.0000], [0.0000, 0.0000, 10.4835]], "species": ["K", "K", "K", "K", "Si", "Si", "Si", "Si", "Si", "Si", "Si", "Si", "B", "B", "B", "B", "O", "O", "O", "O", "O", "O", "O", "O", "O", "O", "O", "O", "O", "O", "O", "O", "O", "O", "O", "O", "O", "O", "O", "O"], "fractional_positions": [[0.2006, 0.0334, 0.3105], [0.2994, 0.9666, 0.8105], [0.7006, 0.4666, 0.6895], [0.7994, 0.5334, 0.1895], [0.2124, 0.3911, 0.4351], [0.2337, 0.3016, 0.9242], [0.2663, 0.6984, 0.4242], [0.2876, 0.6089, 0.9351], [0.7124, 0.1089, 0.5649], [0.7337, 0.1984, 0.0758], [0.7663, 0.8016, 0.5758], [0.7876, 0.8911, 0.0649], [0.2090, 0.2320, 0.6572], [0.2910, 0.7680, 0.1572], [0.7090, 0.2680, 0.3428], [0.7910, 0.7320, 0.8428], [0.0125, 0.3032, 0.3407], [0.0249, 0.8055, 0.4717], [0.0456, 0.1203, 0.6032], [0.1099, 0.2546, 0.7889], [0.1217, 0.5501, 0.4189], [0.1644, 0.3580, 0.5860], [0.3356, 0.6420, 0.0860], [0.3783, 0.4499, 0.9189], [0.3901, 0.7454, 0.2889], [0.4544, 0.8797, 0.1032], [0.4751, 0.1945, 0.9717], [0.4875, 0.6968, 0.8407], [0.5125, 0.1968, 0.6593], [0.5249, 0.6945, 0.5283], [0.5456, 0.3797, 0.3968], [0.6099, 0.2454, 0.2111], [0.6217, 0.9499, 0.5811], [0.6644, 0.1420, 0.4140], [0.8356, 0.8580, 0.9140], [0.8783, 0.0501, 0.0811], [0.8901, 0.7546, 0.7111], [0.9544, 0.6203, 0.8968], [0.9751, 0.3055, 0.0283], [0.9875, 0.8032, 0.1593]], "sg": "P2_12_12_1", "m_tot_mub_per_cell": 0.00, "dft_energy_ev_per_atom": -10.20}

5.
{"formula": "CrCo2Rh", "functional": "SCAN", "state": "single point on PBEsol structure", "lattice": [[-1.7811, 1.7811, 3.5556], [1.7811, -1.7811, 3.5556], [1.7811, 1.7811, -3.5556]], "species": ["Cr", "Co", "Co", "Rh"], "fractional_positions": [[0.0000, 0.0000, 0.0000], [0.2500, 0.7500, 0.5000], [0.5000, 0.5000, 0.0000], [0.7500, 0.2500, 0.5000]], "sg": "I-4m2", "m_tot_mub_per_cell": 1.14, "e_form_kj_per_mol_atoms": 1.9}

6.
{"formula": "MgSc2Al", "functional": "SCAN", "state": "single point on PBEsol structure", "lattice": [[3.1518, 0.0000, 0.0000], [0.0000, 3.1518, 0.0000], [0.0000, 0.0000, 8.4655]], "species": ["Mg", "Sc", "Sc", "Al"], "fractional_positions": [[0.0000, 0.0000, 0.0000], [0.0000, 0.0000, 0.5452], [0.5000, 0.5000, 0.2721], [0.5000, 0.5000, 0.7732]], "sg": "P4mm", "m_tot_mub_per_cell": 0.00, "e_form_kj_per_mol_atoms": -13.6}

7.
{"formula": "MnPO4", "functional": "SCAN", "state": "single point on PBEsol structure", "lattice": [[2.6161, -3.8507, 0.0000], [2.6161, 3.8507, 0.0000], [0.0000, 0.0000, 6.3813]], "species": ["Mn", "Mn", "P", "P", "O", "O", "O", "O", "O", "O", "O", "O"], "fractional_positions": [[0.0000, 0.0000, 0.0000], [0.0000, 0.0000, 0.5000], [0.3472, 0.6528, 0.7500], [0.6528, 0.3472, 0.2500], [0.2210, 0.2912, 0.7500], [0.2378, 0.7622, 0.5494], [0.2378, 0.7622, 0.9506], [0.2912, 0.2210, 0.2500], [0.7088, 0.7790, 0.7500], [0.7622, 0.2378, 0.0494], [0.7622, 0.2378, 0.4506], [0.7790, 0.7088, 0.2500]], "sg": "Cmcm", "m_tot_mub_per_cell": 8.00, "dft_energy_ev_per_atom": -11.30}

8.
{"formula": "BeCu5", "functional": "SCAN", "state": "single point on PBEsol structure", "lattice": [[2.5391, 0.0000, 0.0000], [0.0000, 2.5391, 0.0000], [0.0000, 0.0000, 9.9257]], "species": ["Be", "Cu", "Cu", "Cu", "Cu", "Cu"], "fractional_positions": [[0.0000, 0.0000, 0.0000], [0.0000, 0.0000, 0.3223], [0.0000, 0.0000, 0.6777], [0.5000, 0.5000, 0.1434], [0.5000, 0.5000, 0.5000], [0.5000, 0.5000, 0.8566]], "sg": "P4/mmm", "m_tot_mub_per_cell": 0.00, "e_form_kj_per_mol_atoms": -5.8}

9.
{"formula": "CrSNCl2", "functional": "SCAN", "state": "single point on PBEsol structure", "lattice": [[4.0807, 0.0000, 0.0000], [0.0000, 4.0807, 0.0000], [0.0000, 0.0000, 4.6233]], "species": ["Cr", "S", "N", "Cl", "Cl"], "fractional_positions": [[0.0000, 0.0000, 0.0000], [0.5000, 0.5000, 0.0000], [0.5000, 0.5000, 0.5000], [0.0000, 0.5000, 0.5000], [0.5000, 0.0000, 0.5000]], "sg": "P4/mmm", "m_tot_mub_per_cell": 3.97, "dft_energy_ev_per_atom": -9.81}

10.
{"formula": "KCd4Pt", "functional": "SCAN", "state": "single point on PBEsol structure", "lattice": [[0.0000, 3.9979, 3.9979], [3.9979, 0.0000, 3.9979], [3.9979, 3.9979, 0.0000]], "species": ["K", "Cd", "Cd", "Cd", "Cd", "Pt"], "fractional_positions": [[0.0000, 0.0000, 0.0000], [0.3759, 0.3759, 0.3759], [0.3759, 0.3759, 0.8723], [0.3759, 0.8723, 0.3759], [0.8723, 0.3759, 0.3759], [0.7500, 0.7500, 0.7500]], "sg": "F-43m", "m_tot_mub_per_cell": 0.00, "e_form_kj_per_mol_atoms": 5.9}

11.
{"formula": "Al2Sb2Pd", "functional": "SCAN", "state": "single point on PBEsol structure", "lattice": [[6.6824, 0.0000, 0.0000], [0.0000, 6.6824, 0.0000], [0.0000, 0.0000, 4.5064]], "species": ["Al", "Al", "Al", "Al", "Sb", "Sb", "Sb", "Sb", "Pd", "Pd"], "fractional_positions": [[0.1386, 0.3614, 0.0000], [0.3614, 0.8614, 0.0000], [0.6386, 0.1386, 0.0000], [0.8614, 0.6386, 0.0000], [0.1832, 0.6832, 0.5000], [0.3168, 0.1832, 0.5000], [0.6832, 0.8168, 0.5000], [0.8168, 0.3168, 0.5000], [0.0000, 0.0000, 0.0000], [0.5000, 0.5000, 0.0000]], "sg": "P4/mbm", "m_tot_mub_per_cell": 0.00, "dft_energy_ev_per_atom": -24.58}

12.
{"formula": "Li2CoAs", "functional": "SCAN", "state": "single point on PBEsol structure", "lattice": [[2.2943, -4.2545, 0.0000], [2.2943, 4.2545, 0.0000], [-0.8847, 0.0000, 2.6110]], "species": ["Li", "Li", "Co", "As"], "fractional_positions": [[0.0000, 0.5000, 0.0000], [0.5000, 0.0000, 0.0000], [0.0000, 0.0000, 0.5000], [0.5000, 0.5000, 0.5000]], "sg": "C2/m", "m_tot_mub_per_cell": 1.22, "e_form_kj_per_mol_atoms": -9.3}

Copy entry 10 word for word.
{"formula": "KCd4Pt", "functional": "SCAN", "state": "single point on PBEsol structure", "lattice": [[0.0000, 3.9979, 3.9979], [3.9979, 0.0000, 3.9979], [3.9979, 3.9979, 0.0000]], "species": ["K", "Cd", "Cd", "Cd", "Cd", "Pt"], "fractional_positions": [[0.0000, 0.0000, 0.0000], [0.3759, 0.3759, 0.3759], [0.3759, 0.3759, 0.8723], [0.3759, 0.8723, 0.3759], [0.8723, 0.3759, 0.3759], [0.7500, 0.7500, 0.7500]], "sg": "F-43m", "m_tot_mub_per_cell": 0.00, "e_form_kj_per_mol_atoms": 5.9}